Entry 1:
# Cd2Ag

Crystalline Cd2Ag at its relaxed geometry (PBE-GGA, the Open Quantum Materials Database).

Computed properties:
- Electronic total energy: -1.416 eV per atom
- Distance to the lowest polymorph of the same formula: 188 meV per atom

Unit cell a=5.585 b=5.585 c=5.585 alpha=60.00 beta=60.00 gamma=60.00
Fractional positions:
Cd (0.000, 0.000, 0.000)
Cd (0.000, 0.000, 0.500)
Cd (0.000, 0.500, 0.000)
Cd (0.500, 0.000, 0.000)
Ag (0.375, 0.375, 0.375)
Ag (0.625, 0.625, 0.625)

Entry 2:
# CdAg17

Crystalline CdAg17 at its relaxed geometry (PBE-GGA, the Open Quantum Materials Database).

Computed properties:
- Electronic total energy: -2.665 eV per atom

Unit cell a=5.071 b=5.863 c=34.438 alpha=90.00 beta=90.02 gamma=90.00
Fractional positions:
Cd (0.167, 0.250, 0.283)
Cd (0.833, 0.750, 0.717)
Ag (0.000, 0.000, 0.000)
Ag (0.000, 0.000, 0.209)
Ag (0.000, 0.000, 0.791)
Ag (0.000, 0.500, 0.000)
Ag (0.000, 0.500, 0.209)
Ag (0.000, 0.500, 0.791)
Ag (0.166, 0.750, 0.070)
Ag (0.166, 0.750, 0.279)
Ag (0.166, 0.750, 0.861)
Ag (0.167, 0.250, 0.070)
Ag (0.168, 0.250, 0.861)
Ag (0.333, 0.001, 0.721)
Ag (0.333, 0.499, 0.721)
Ag (0.334, 0.000, 0.139)
Ag (0.334, 0.000, 0.930)
Ag (0.334, 0.500, 0.139)
Ag (0.334, 0.500, 0.930)
Ag (0.500, 0.250, 0.000)
Ag (0.500, 0.250, 0.209)
Ag (0.500, 0.250, 0.791)
Ag (0.500, 0.750, 0.000)
Ag (0.500, 0.750, 0.209)
Ag (0.500, 0.750, 0.791)
Ag (0.666, 0.000, 0.070)
Ag (0.666, 0.000, 0.861)
Ag (0.666, 0.500, 0.070)
Ag (0.666, 0.500, 0.861)
Ag (0.667, 0.501, 0.279)
Ag (0.667, 0.999, 0.279)
Ag (0.832, 0.750, 0.139)
Ag (0.833, 0.750, 0.930)
Ag (0.834, 0.250, 0.139)
Ag (0.834, 0.250, 0.721)
Ag (0.834, 0.250, 0.930)

Entry 3:
# Cs2CdAgCl6

Crystalline Cs2CdAgCl6 at its relaxed geometry (PBE-GGA, the Open Quantum Materials Database).

Computed properties:
- Electronic total energy: -2.901 eV per atom

Unit cell a=7.411 b=7.411 c=7.411 alpha=60.00 beta=60.00 gamma=60.00
Fractional positions:
Cs (0.250, 0.250, 0.250)
Cs (0.750, 0.750, 0.750)
Cd (0.000, 0.000, 0.000)
Ag (0.500, 0.500, 0.500)
Cl (0.251, 0.251, 0.749)
Cl (0.251, 0.749, 0.251)
Cl (0.251, 0.749, 0.749)
Cl (0.749, 0.251, 0.251)
Cl (0.749, 0.251, 0.749)
Cl (0.749, 0.749, 0.251)